<P>
DFT (meta-GGA SCAN) results for K2TlRh at its PBEsol-relaxed geometry.

a = 3.7377 Å, b = 3.7377 Å, c = 9.8328 Å
α = 90.00°, β = 90.00°, γ = 90.00°
With the nearest neighbours (Å) after each atom.
Atoms (fractional coordinates):
Rh 0.0000 0.0000 0.6062  4 Tl 2.67
K 0.0000 0.0000 0.9201  1 Rh 3.09
K 0.5000 0.5000 0.3256  1 Tl 3.17
Tl 0.5000 0.5000 0.6481  4 Rh 2.67

## Properties
Calculated volume   34.34 Å³ per atom
SG   P4mm, No. 99
Total moment   0.02 Bohr magnetons per cell

---

<Q>
DFT (meta-GGA SCAN) results for K2TlRh at its PBEsol-relaxed geometry.

a = 5.1863 Å, b = 5.1863 Å, c = 5.1863 Å
α = 60.00°, β = 60.00°, γ = 60.00°
With the nearest neighbours (Å) after each atom.
Atoms (fractional coordinates):
K 0.0000 0.0000 0.0000  4 Tl 3.18, 4 K 3.18
Tl 0.2500 0.2500 0.2500  4 K 3.18, 4 Rh 3.18
Rh 0.5000 0.5000 0.5000  4 K 3.18, 4 Tl 3.18
K 0.7500 0.7500 0.7500  4 Rh 3.18, 4 K 3.18

## Properties
Calculated volume   24.66 Å³ per atom
SG   F-43m, No. 216
Total moment   0.00 Bohr magnetons per cell

---

<P> is favored, and the nearest alternative lies 0.183 eV/atom above it.

---

<P>
DFT (meta-GGA SCAN) results for KTlRh2 at its PBEsol-relaxed geometry.

a = 3.0797 Å, b = 5.2063 Å, c = 5.6973 Å
α = 117.19°, β = 105.68°, γ = 90.00°
With the nearest neighbours (Å) after each atom.
Atoms (fractional coordinates):
K 0.0000 0.5000 0.0000  4 Tl 3.02, 4 Rh 3.05, 2 K 3.08
Rh 0.7725 0.7725 0.5451  2 Tl 2.68
Tl 0.5000 0.0000 0.0000  4 Rh 2.68
Rh 0.2275 0.2275 0.4549  2 Tl 2.68

## Properties
Calculated volume   19.35 Å³ per atom
SG   Immm, No. 71
Total moment   0.00 Bohr magnetons per cell

---

<Q>
DFT (meta-GGA SCAN) results for KTlRh2 at its PBEsol-relaxed geometry.

a = 3.0640 Å, b = 3.0640 Å, c = 9.6254 Å
α = 80.84°, β = 80.84°, γ = 60.00°
With the nearest neighbours (Å) after each atom.
Atoms (fractional coordinates):
Tl 0.5000 0.5000 0.5000  6 Rh 2.72
K 0.0000 0.0000 0.0000  6 K 3.06, 6 Rh 3.19
Rh 0.2397 0.2397 0.2809  3 Tl 2.72
Rh 0.7603 0.7603 0.7191  3 Tl 2.72

## Properties
Calculated volume   19.23 Å³ per atom
SG   R-3m, No. 166
Total moment   0.00 Bohr magnetons per cell

---

<R>
DFT (meta-GGA SCAN) results for KTlRh2 at its PBEsol-relaxed geometry.

a = 4.6921 Å, b = 4.6921 Å, c = 4.6921 Å
α = 60.00°, β = 60.00°, γ = 60.00°
With the nearest neighbours (Å) after each atom.
Atoms (fractional coordinates):
Rh 0.7500 0.7500 0.7500  4 Tl 2.87, 4 K 2.87
K 0.0000 0.0000 0.0000  8 Rh 2.87
Rh 0.2500 0.2500 0.2500  4 K 2.87, 4 Tl 2.87
Tl 0.5000 0.5000 0.5000  8 Rh 2.87

## Properties
Calculated volume   18.26 Å³ per atom
SG   Fm-3m, No. 225
Total moment   0.00 Bohr magnetons per cell

---

<Q> is favored, and the nearest alternative lies 0.044 eV/atom above it.